# PBE Pm2ZnGe5, optimized geometry
# DFT total energy (eV per atom): -4.665
data_Pm2ZnGe5
_cell_length_a 8.737
_cell_length_b 8.790
_cell_length_c 6.198
_cell_angle_alpha 90.00
_cell_angle_beta 134.60
_cell_angle_gamma 90.00
_space_group_name_H-M_alt 'P 1'
_space_group_IT_number 1
_space_group_name_Hall 'P 1'
loop_
_atom_site_label
_atom_site_fract_x
_atom_site_fract_y
_atom_site_fract_z
Pm1 0.000 0.250 0.000
Pm2 0.000 0.750 0.000
Pm3 0.500 0.250 0.000
Pm4 0.500 0.750 0.000
Zn1 0.174 0.000 0.849
Zn2 0.674 0.500 0.849
Ge1 0.215 0.500 0.930
Ge2 0.227 0.500 0.494
Ge3 0.266 0.000 0.494
Ge4 0.497 0.230 0.494
Ge5 0.497 0.770 0.494
Ge6 0.715 0.000 0.930
Ge7 0.727 0.000 0.494
Ge8 0.766 0.500 0.494
Ge9 0.997 0.270 0.494
Ge10 0.997 0.730 0.494